Here is NbRhO2 after structural relaxation from the Alexandria database. Energies are from PBE.

The structure in POSCAR format:
```
NbRhO2
1.0
1.427 0.824 6.751
-1.427 0.824 6.751
0.000 -1.648 6.751
Nb Rh O
1 1 2
Direct
0.000 0.000 0.000 Nb
0.500 0.500 0.500 Rh
0.400 0.400 0.400 O
0.600 0.600 0.600 O
```

- E: -8.197 eV/atom
- Formation energy without anion corrections: -1.3627 eV per atom
- Crystal system: trigonal
- E above lowest polymorph: 0 meV per atom